No. 1
Material: AcTb2Pm
Method: DFT, PBE
State: relaxed

Results
ΔE_f, meV per atom: 126
Symmetry: Fm-3m (225)

Cell lengths 5.872, 5.872, 5.872 Å; angles 60.00, 60.00, 60.00 degrees
Sites, in units of the cell vectors:
Ac (0.000, 0.000, 0.000)
Tb (0.250, 0.250, 0.250)
Tb (0.750, 0.750, 0.750)
Pm (0.500, 0.500, 0.500)



No. 2
Material: SrBiAs
Method: DFT, PBE
State: relaxed

Results
ΔE_f, meV per atom: -533
Symmetry: P3m1 (156)

Cell lengths 4.919, 4.919, 4.656 Å; angles 90.00, 90.00, 120.00 degrees
Sites, in units of the cell vectors:
Sr (0.000, 0.000, 0.000)
Bi (0.667, 0.333, 0.472)
As (0.333, 0.667, 0.607)



No. 3
Material: Ca2CdCo
Method: DFT, PBE
State: relaxed

Results
ΔE_f, meV per atom: 115
Symmetry: R3m (160)

Cell lengths 7.240, 7.240, 7.240 Å; angles 35.85, 35.85, 35.85 degrees
Sites, in units of the cell vectors:
Ca (0.000, 0.000, 0.000)
Ca (0.180, 0.180, 0.180)
Cd (0.758, 0.758, 0.758)
Co (0.422, 0.422, 0.422)



No. 4
Material: Fe5Ru4
Method: DFT, PBE
State: relaxed

Results
ΔE_f, meV per atom: 263
Symmetry: P6_3/mcm (193)

Cell lengths 7.117, 7.117, 5.144 Å; angles 90.00, 90.00, 120.00 degrees
Sites, in units of the cell vectors:
Fe (0.000, 0.330, 0.250)
Fe (0.000, 0.670, 0.750)
Fe (0.330, 0.000, 0.250)
Fe (0.330, 0.330, 0.750)
Fe (0.333, 0.667, 0.000)
Fe (0.333, 0.667, 0.500)
Fe (0.667, 0.333, 0.000)
Fe (0.667, 0.333, 0.500)
Fe (0.670, 0.000, 0.750)
Fe (0.670, 0.670, 0.250)
Ru (0.000, 0.000, 0.000)
Ru (0.000, 0.000, 0.500)
Ru (0.000, 0.341, 0.750)
Ru (0.000, 0.659, 0.250)
Ru (0.341, 0.000, 0.750)
Ru (0.341, 0.341, 0.250)
Ru (0.659, 0.000, 0.250)
Ru (0.659, 0.659, 0.750)



No. 5
Material: TbThSe2
Method: DFT, PBE
State: relaxed

Results
Energy relative to the elements, uncorrected, eV per atom: -1.63
Symmetry: P6_3/mmc (194)

Cell lengths 4.021, 4.021, 14.518 Å; angles 90.00, 90.00, 120.00 degrees
Sites, in units of the cell vectors:
Tb (0.000, 0.000, 0.000)
Tb (0.000, 0.000, 0.500)
Th (0.333, 0.667, 0.250)
Th (0.667, 0.333, 0.750)
Se (0.333, 0.667, 0.618)
Se (0.333, 0.667, 0.882)
Se (0.667, 0.333, 0.118)
Se (0.667, 0.333, 0.382)



No. 6
Material: Ba2TaCoBi
Method: DFT, PBE
State: relaxed

Results
ΔE_f, meV per atom: 1265
Symmetry: P4/mmm (123)

Cell lengths 6.703, 6.703, 5.323 Å; angles 90.00, 90.00, 90.00 degrees
Sites, in units of the cell vectors:
Ba (0.000, 0.500, 0.000)
Ba (0.500, 0.000, 0.000)
Ta (0.000, 0.000, 0.500)
Co (0.500, 0.500, 0.500)
Bi (0.000, 0.000, 0.000)



No. 7
Material: Mo2OsPt
Method: DFT, PBE
State: relaxed

Results
ΔE_f, meV per atom: -31
Symmetry: R-3m (166)

Cell lengths 9.383, 9.383, 9.383 Å; angles 16.96, 16.96, 16.96 degrees
Sites, in units of the cell vectors:
Mo (0.248, 0.248, 0.248)
Mo (0.752, 0.752, 0.752)
Os (0.500, 0.500, 0.500)
Pt (0.000, 0.000, 0.000)



No. 8
Material: Li2MgTeBr
Method: DFT, PBE
State: relaxed

Results
Energy relative to the elements, uncorrected, eV per atom: -0.64
Symmetry: P4/mmm (123)

Cell lengths 5.242, 5.242, 5.876 Å; angles 90.00, 90.00, 90.00 degrees
Sites, in units of the cell vectors:
Li (0.000, 0.500, 0.000)
Li (0.500, 0.000, 0.000)
Mg (0.000, 0.000, 0.500)
Te (0.000, 0.000, 0.000)
Br (0.500, 0.500, 0.500)



No. 9
Material: LiAsF6
Method: DFT, PBE
State: relaxed

Results
Energy relative to the elements, uncorrected, eV per atom: -2.35
Symmetry: P312 (149)

Cell lengths 4.902, 4.902, 4.593 Å; angles 90.00, 90.00, 120.00 degrees
Sites, in units of the cell vectors:
Li (0.000, 0.000, 0.000)
As (0.333, 0.667, 0.500)
F (0.042, 0.369, 0.276)
F (0.042, 0.673, 0.724)
F (0.327, 0.369, 0.724)
F (0.327, 0.958, 0.276)
F (0.631, 0.673, 0.276)
F (0.631, 0.958, 0.724)



No. 10
Material: NdPuBiTe
Method: DFT, PBE
State: relaxed

Results
Energy relative to the elements, uncorrected, eV per atom: -0.80
Symmetry: F-43m (216)

Cell lengths 5.515, 5.515, 5.515 Å; angles 60.00, 60.00, 60.00 degrees
Sites, in units of the cell vectors:
Nd (0.000, 0.000, 0.000)
Pu (0.500, 0.500, 0.500)
Bi (0.750, 0.750, 0.750)
Te (0.250, 0.250, 0.250)



No. 11
Material: LuPu2Th
Method: DFT, PBE
State: relaxed

Results
ΔE_f, meV per atom: 179
Symmetry: R-3m (166)

Cell lengths 11.326, 11.326, 11.326 Å; angles 17.57, 17.57, 17.57 degrees
Sites, in units of the cell vectors:
Lu (0.000, 0.000, 0.000)
Pu (0.249, 0.249, 0.249)
Pu (0.751, 0.751, 0.751)
Th (0.500, 0.500, 0.500)



No. 12
Material: Ce2Fe3ReB12
Method: DFT, PBE
State: relaxed

Results
ΔE_f, meV per atom: 61
Symmetry: R-3m (166)

Cell lengths 8.257, 8.257, 8.257 Å; angles 38.81, 38.81, 38.81 degrees
Sites, in units of the cell vectors:
Ce (0.141, 0.141, 0.141)
Ce (0.859, 0.859, 0.859)
Fe (0.000, 0.500, 0.500)
Fe (0.500, 0.000, 0.500)
Fe (0.500, 0.500, 0.000)
Re (0.500, 0.500, 0.500)
B (0.159, 0.159, 0.475)
B (0.159, 0.475, 0.159)
B (0.166, 0.552, 0.552)
B (0.448, 0.448, 0.834)
B (0.448, 0.834, 0.448)
B (0.475, 0.159, 0.159)
B (0.525, 0.841, 0.841)
B (0.552, 0.166, 0.552)
B (0.552, 0.552, 0.166)
B (0.834, 0.448, 0.448)
B (0.841, 0.525, 0.841)
B (0.841, 0.841, 0.525)



Repeat the fourth record exactly.
Material: Fe5Ru4
Method: DFT, PBE
State: relaxed

Results
ΔE_f, meV per atom: 263
Symmetry: P6_3/mcm (193)

Cell lengths 7.117, 7.117, 5.144 Å; angles 90.00, 90.00, 120.00 degrees
Sites, in units of the cell vectors:
Fe (0.000, 0.330, 0.250)
Fe (0.000, 0.670, 0.750)
Fe (0.330, 0.000, 0.250)
Fe (0.330, 0.330, 0.750)
Fe (0.333, 0.667, 0.000)
Fe (0.333, 0.667, 0.500)
Fe (0.667, 0.333, 0.000)
Fe (0.667, 0.333, 0.500)
Fe (0.670, 0.000, 0.750)
Fe (0.670, 0.670, 0.250)
Ru (0.000, 0.000, 0.000)
Ru (0.000, 0.000, 0.500)
Ru (0.000, 0.341, 0.750)
Ru (0.000, 0.659, 0.250)
Ru (0.341, 0.000, 0.750)
Ru (0.341, 0.341, 0.250)
Ru (0.659, 0.000, 0.250)
Ru (0.659, 0.659, 0.750)